P:
Material: PaPIrO
Method: DFT, PBE
State: optimized geometry

Output
Symmetry: P4/nmm, No. 129
Calculated volume in Å³/f.u.: 60.29

a b c (Å): 3.874 3.874 8.032
angles (deg): 90.00 90.00 90.00
Atoms (fractional coordinates):
O1 0.000 0.000 0.000
O2 0.500 0.500 0.000
P1 0.000 0.500 0.681
P2 0.500 0.000 0.319
Ir1 0.500 0.500 0.500
Ir2 0.000 0.000 0.500
Pa1 0.500 0.000 0.825
Pa2 0.000 0.500 0.175

Q:
Material: PaPIrO
Method: DFT, PBE
State: optimized geometry

Output
Symmetry: Pmc2_1, No. 26
Calculated volume in Å³/f.u.: 65.04

a b c (Å): 4.408 4.180 7.060
angles (deg): 90.00 90.00 90.00
Each line ends with the local moment (μB).
Atoms (fractional coordinates):
Pa1 0.500 0.750 0.601  0.99
Pa2 0.500 0.250 0.101  0.99
P1 0.000 0.753 0.277  -0.02
P2 0.000 0.247 0.777  -0.02
O1 0.500 0.746 0.936  -0.02
O2 0.500 0.254 0.436  -0.02
Ir1 0.000 0.253 0.440  -0.05
Ir2 0.000 0.747 0.940  -0.06

According to the calculations, the structures order from most to least stable as P, Q.

P:
Material: PaPIrO
Method: DFT, PBE
State: optimized geometry

Output
Symmetry: P4/mmm, No. 123
Calculated volume in Å³/f.u.: 77.31

a b c (Å): 5.998 5.998 4.298
angles (deg): 90.00 90.00 90.00
Atoms (fractional coordinates):
P1 0.500 0.000 0.000
P2 0.000 0.500 0.000
Pa1 0.000 0.000 0.500
Pa2 0.500 0.500 0.500
O1 0.500 0.500 0.000
O2 0.000 0.000 0.000
Ir1 0.500 0.000 0.500
Ir2 0.000 0.500 0.500

Q:
Material: PaPIrO
Method: DFT, PBE
State: optimized geometry

Output
Symmetry: P4/nmm, No. 129
Calculated volume in Å³/f.u.: 63.42

a b c (Å): 4.407 4.407 6.532
angles (deg): 90.00 90.00 90.00
Atoms (fractional coordinates):
Pa1 0.000 0.500 0.500
Pa2 0.500 0.000 0.500
P1 0.000 0.000 0.750
P2 0.500 0.500 0.250
O1 0.000 0.500 0.000
O2 0.500 0.000 0.000
Ir1 0.500 0.500 0.898
Ir2 0.000 0.000 0.102

According to the calculations, the structures order from most to least stable as P, Q.

P:
Material: PmPIrO
Method: DFT, PBE
State: optimized geometry

Output
Symmetry: P4/nmm, No. 129
Calculated volume in Å³/f.u.: 68.61

a b c (Å): 5.491 5.491 4.551
angles (deg): 90.00 90.00 90.00
Atoms (fractional coordinates):
Ir1 0.750 0.750 0.998
Ir2 0.250 0.250 0.002
O1 0.250 0.750 0.000
O2 0.750 0.250 0.000
P1 0.250 0.250 0.503
P2 0.750 0.750 0.497
Pm1 0.750 0.250 0.500
Pm2 0.250 0.750 0.500

Q:
Material: PmPIrO
Method: DFT, PBE
State: optimized geometry

Output
Symmetry: P4/nmm, No. 129
Calculated volume in Å³/f.u.: 66.11

a b c (Å): 3.984 3.984 8.332
angles (deg): 90.00 90.00 90.00
Atoms (fractional coordinates):
P1 0.500 0.500 0.344
P2 0.000 0.000 0.656
Pm1 0.500 0.500 0.859
Pm2 0.000 0.000 0.141
Ir1 0.000 0.500 0.500
Ir2 0.500 0.000 0.500
O1 0.000 0.500 0.000
O2 0.500 0.000 0.000

According to the calculations, the structures order from most to least stable as Q, P.

P:
Material: PmPIrO
Method: DFT, PBE
State: optimized geometry

Output
Symmetry: Pmc2_1, No. 26
Calculated volume in Å³/f.u.: 65.10

a b c (Å): 4.554 4.084 7.001
angles (deg): 90.00 90.00 90.00
Atoms (fractional coordinates):
Pm1 0.500 0.251 0.605
Pm2 0.500 0.750 0.105
P1 0.000 0.251 0.272
P2 0.000 0.749 0.772
O1 0.500 0.751 0.439
O2 0.500 0.249 0.939
Ir1 0.000 0.249 0.938
Ir2 0.000 0.751 0.438

Q:
Material: PmPIrO
Method: DFT, PBE
State: optimized geometry

Output
Symmetry: Pmc2_1, No. 26
Calculated volume in Å³/f.u.: 67.13

a b c (Å): 3.339 7.656 5.252
angles (deg): 90.00 90.00 90.00
Atoms (fractional coordinates):
Ir1 0.500 0.251 0.009
Ir2 0.500 0.749 0.509
P1 0.000 0.943 0.493
P2 0.000 0.057 0.993
O1 0.500 0.490 0.245
O2 0.500 0.510 0.745
Pm1 0.000 0.661 0.007
Pm2 0.000 0.339 0.507

According to the calculations, the structures order from most to least stable as P, Q.

P:
Material: PIrPtO
Method: DFT, PBE
State: optimized geometry

Output
Symmetry: Pmc2_1, No. 26
Calculated volume in Å³/f.u.: 60.41

a b c (Å): 3.789 5.795 5.503
angles (deg): 90.00 90.00 90.00
Atoms (fractional coordinates):
O1 0.500 0.860 0.927
O2 0.500 0.140 0.427
Ir1 0.000 0.866 0.999
Ir2 0.000 0.134 0.499
P1 0.000 0.742 0.392
P2 0.000 0.258 0.892
Pt1 0.500 0.510 0.436
Pt2 0.500 0.490 0.936

Q:
Material: PIrPtO
Method: DFT, PBE
State: optimized geometry

Output
Symmetry: P4/nmm, No. 129
Calculated volume in Å³/f.u.: 51.76

a b c (Å): 3.908 3.908 6.779
angles (deg): 90.00 90.00 90.00
Atoms (fractional coordinates):
P1 0.500 0.500 0.279
P2 0.000 0.000 0.721
O1 0.000 0.500 0.000
O2 0.500 0.000 0.000
Pt1 0.500 0.000 0.500
Pt2 0.000 0.500 0.500
Ir1 0.000 0.000 0.155
Ir2 0.500 0.500 0.845

According to the calculations, the structures order from most to least stable as P, Q.

P:
Material: ScPIrO
Method: DFT, PBE
State: optimized geometry

Output
Symmetry: Pmc2_1, No. 26
Calculated volume in Å³/f.u.: 60.68

a b c (Å): 3.159 7.479 5.136
angles (deg): 90.00 90.00 90.00
Atoms (fractional coordinates):
O1 0.000 0.065 0.881
O2 0.000 0.935 0.381
Sc1 0.500 0.785 0.465
Sc2 0.500 0.215 0.965
P1 0.500 0.430 0.458
P2 0.500 0.570 0.958
Ir1 0.000 0.785 0.950
Ir2 0.000 0.215 0.450

Q:
Material: ScPIrO
Method: DFT, PBE
State: optimized geometry

Output
Symmetry: P4/nmm, No. 129
Calculated volume in Å³/f.u.: 57.00

a b c (Å): 3.887 3.887 7.544
angles (deg): 90.00 90.00 90.00
Atoms (fractional coordinates):
O1 0.500 0.000 0.000
O2 0.000 0.500 0.000
Sc1 0.000 0.000 0.119
Sc2 0.500 0.500 0.881
P1 0.000 0.000 0.676
P2 0.500 0.500 0.324
Ir1 0.000 0.500 0.500
Ir2 0.500 0.000 0.500

According to the calculations, the structures order from most to least stable as Q, P.

P:
Material: ScPIrO
Method: DFT, PBE
State: optimized geometry

Output
Symmetry: P4/nmm, No. 129
Calculated volume in Å³/f.u.: 59.54

a b c (Å): 5.183 5.183 4.432
angles (deg): 90.00 90.00 90.00
Atoms (fractional coordinates):
P1 0.500 0.500 0.496
P2 0.000 0.000 0.504
Sc1 0.000 0.500 0.500
Sc2 0.500 0.000 0.500
Ir1 0.500 0.500 0.996
Ir2 0.000 0.000 0.004
O1 0.000 0.500 0.000
O2 0.500 0.000 0.000

Q:
Material: ScPIrO
Method: DFT, PBE
State: optimized geometry

Output
Symmetry: Pmc2_1, No. 26
Calculated volume in Å³/f.u.: 56.72

a b c (Å): 4.532 4.340 5.767
angles (deg): 90.00 90.00 90.00
Atoms (fractional coordinates):
O1 0.500 0.159 0.936
O2 0.500 0.841 0.436
Ir1 0.000 0.860 0.433
Ir2 0.000 0.140 0.933
P1 0.000 0.640 0.795
P2 0.000 0.360 0.295
Sc1 0.500 0.281 0.590
Sc2 0.500 0.719 0.090

According to the calculations, the structures order from most to least stable as Q, P.

P:
Material: SiPIrO
Method: DFT, PBE
State: optimized geometry

Output
Symmetry: Pmc2_1, No. 26
Calculated volume in Å³/f.u.: 60.23

a b c (Å): 3.446 7.617 4.589
angles (deg): 90.00 90.00 90.00
Atoms (fractional coordinates):
O1 0.500 0.442 0.370
O2 0.500 0.558 0.870
Si1 0.500 0.636 0.536
Si2 0.500 0.364 0.036
P1 0.000 0.191 0.919
P2 0.000 0.809 0.419
Ir1 0.000 0.106 0.429
Ir2 0.000 0.894 0.929

Q:
Material: SiPIrO
Method: DFT, PBE
State: optimized geometry

Output
Symmetry: Pmc2_1, No. 26
Calculated volume in Å³/f.u.: 56.33

a b c (Å): 2.926 6.581 5.849
angles (deg): 90.00 90.00 90.00
Atoms (fractional coordinates):
O1 0.000 0.821 0.906
O2 0.000 0.179 0.406
P1 0.500 0.771 0.394
P2 0.500 0.229 0.894
Si1 0.500 0.905 0.035
Si2 0.500 0.095 0.535
Ir1 0.000 0.479 0.919
Ir2 0.000 0.521 0.419

According to the calculations, the structures order from most to least stable as P, Q.

P:
Material: SnPIrO
Method: DFT, PBE
State: optimized geometry

Output
Symmetry: Pmc2_1, No. 26
Calculated volume in Å³/f.u.: 72.36

a b c (Å): 3.983 5.766 6.301
angles (deg): 90.00 90.00 90.00
Atoms (fractional coordinates):
O1 0.500 0.198 0.933
O2 0.500 0.802 0.433
Sn1 0.500 0.171 0.549
Sn2 0.500 0.829 0.049
P1 0.000 0.361 0.310
P2 0.000 0.639 0.810
Ir1 0.000 0.283 0.962
Ir2 0.000 0.717 0.462

Q:
Material: SnPIrO
Method: DFT, PBE
State: optimized geometry

Output
Symmetry: P4/nmm, No. 129
Calculated volume in Å³/f.u.: 75.00

a b c (Å): 3.903 3.903 9.846
angles (deg): 90.00 90.00 90.00
Atoms (fractional coordinates):
O1 0.000 0.000 0.000
O2 0.500 0.500 0.000
Ir1 0.500 0.500 0.500
Ir2 0.000 0.000 0.500
Sn1 0.500 0.000 0.884
Sn2 0.000 0.500 0.116
P1 0.000 0.500 0.633
P2 0.500 0.000 0.367

According to the calculations, the structures order from most to least stable as Q, P.

P:
Material: SnPIrO
Method: DFT, PBE
State: optimized geometry

Output
Symmetry: P4/nmm, No. 129
Calculated volume in Å³/f.u.: 63.93

a b c (Å): 4.558 4.558 6.156
angles (deg): 90.00 90.00 90.00
Atoms (fractional coordinates):
Sn1 0.500 0.000 0.500
Sn2 0.000 0.500 0.500
P1 0.500 0.500 0.292
P2 0.000 0.000 0.708
Ir1 0.500 0.500 0.931
Ir2 0.000 0.000 0.069
O1 0.500 0.000 0.000
O2 0.000 0.500 0.000

Q:
Material: SnPIrO
Method: DFT, PBE
State: optimized geometry

Output
Symmetry: Pmc2_1, No. 26
Calculated volume in Å³/f.u.: 64.66

a b c (Å): 3.039 7.910 5.380
angles (deg): 90.00 90.00 90.00
Atoms (fractional coordinates):
Ir1 0.000 0.178 0.467
Ir2 0.000 0.822 0.967
Sn1 0.500 0.754 0.379
Sn2 0.500 0.246 0.879
O1 0.000 0.073 0.087
O2 0.000 0.927 0.587
P1 0.500 0.377 0.321
P2 0.500 0.623 0.821

According to the calculations, the structures order from most to least stable as Q, P.

P:
Material: SrPIrO
Method: DFT, PBE
State: optimized geometry

Output
Symmetry: Pmc2_1, No. 26
Calculated volume in Å³/f.u.: 68.18

a b c (Å): 4.714 4.097 7.061
angles (deg): 90.00 90.00 90.00
Atoms (fractional coordinates):
P1 0.000 0.251 0.772
P2 0.000 0.749 0.272
O1 0.500 0.253 0.439
O2 0.500 0.747 0.939
Ir1 0.000 0.251 0.439
Ir2 0.000 0.749 0.939
Sr1 0.500 0.247 0.104
Sr2 0.500 0.753 0.604

Q:
Material: SrPIrO
Method: DFT, PBE
State: optimized geometry

Output
Symmetry: P4/nmm, No. 129
Calculated volume in Å³/f.u.: 76.25

a b c (Å): 4.032 4.032 9.381
angles (deg): 90.00 90.00 90.00
Atoms (fractional coordinates):
Ir1 0.250 0.750 0.500
Ir2 0.750 0.250 0.500
Sr1 0.750 0.750 0.871
Sr2 0.250 0.250 0.129
P1 0.250 0.250 0.634
P2 0.750 0.750 0.366
O1 0.750 0.250 0.000
O2 0.250 0.750 0.000

R:
Material: SrPIrO
Method: DFT, PBE
State: optimized geometry

Output
Symmetry: P4/nmm, No. 129
Calculated volume in Å³/f.u.: 66.77

a b c (Å): 4.383 4.383 6.950
angles (deg): 90.00 90.00 90.00
Atoms (fractional coordinates):
O1 0.000 0.500 0.000
O2 0.500 0.000 0.000
Ir1 0.500 0.500 0.879
Ir2 0.000 0.000 0.121
P1 0.000 0.000 0.793
P2 0.500 0.500 0.207
Sr1 0.000 0.500 0.500
Sr2 0.500 0.000 0.500

S:
Material: SrPIrO
Method: DFT, PBE
State: optimized geometry

Output
Symmetry: Pmc2_1, No. 26
Calculated volume in Å³/f.u.: 71.52

a b c (Å): 3.313 7.689 5.615
angles (deg): 90.00 90.00 90.00
Atoms (fractional coordinates):
O1 0.000 0.000 0.251
O2 0.000 0.000 0.751
Sr1 0.500 0.832 0.501
Sr2 0.500 0.168 0.001
P1 0.500 0.580 0.001
P2 0.500 0.420 0.501
Ir1 0.000 0.774 0.001
Ir2 0.000 0.226 0.501

According to the calculations, the structures order from most to least stable as Q, S, P, R.